The following is a GGA+U calculation of crystalline MnPbBr2O at its relaxed geometry, from Alexandria.

a = 7.421 Å, b = 7.421 Å, c = 9.158 Å
α = 90.00°, β = 90.00°, γ = 150.41°
Fractional positions:
Mn 0.000 0.000 0.000
Mn 0.000 0.000 0.500
Pb 0.343 0.657 0.750
Pb 0.657 0.343 0.250
Br 0.375 0.625 0.069
Br 0.375 0.625 0.431
Br 0.625 0.375 0.569
Br 0.625 0.375 0.931
O 0.060 0.940 0.250
O 0.940 0.060 0.750

VASP energy = -49.15 eV for the cell shown
symmetry = No. 63
magnetization = 0.9972 μB per atom